No. 1
In3Ir | meta-GGA SCAN | PBEsol geometry

Unit cell a=3.415 b=4.961 c=4.961 alpha=111.28 beta=90.00 gamma=90.00
Element x y z (fractional)
In1 0.500 0.000 0.500
In2 0.000 0.500 0.500
In3 0.500 0.500 0.000
Ir1 0.000 0.000 0.000

Results
The formation energy is 0.232 eV per atom.

No. 2
RbMgTc3 | meta-GGA SCAN | PBEsol geometry

Unit cell a=4.824 b=4.824 c=4.824 alpha=90.00 beta=90.00 gamma=90.00
Last column: magnetic moment on the atom in μB.
Element x y z (fractional)
Tc1 0.500 0.000 0.000  2.28
Tc2 0.000 0.000 0.500  2.28
Tc3 0.000 0.500 0.000  2.28
Mg1 0.000 0.000 0.000  0.01
Rb1 0.500 0.500 0.500  0.05

Results
The formation energy is 2.225 eV per atom.

No. 3
IrC3 | meta-GGA SCAN | PBEsol geometry

Unit cell a=2.922 b=3.870 c=3.904 alpha=119.72 beta=111.98 gamma=90.00
Element x y z (fractional)
C1 0.671 0.732 0.341
C2 0.500 0.817 0.000
C3 0.329 0.391 0.659
Ir1 0.000 0.227 0.000

Results
The formation energy is 1.295 eV per atom. As for the polymorph energy (0 for the lowest one): 0 meV/atom.

No. 4
RbCu2N | meta-GGA SCAN | PBEsol geometry

Unit cell a=5.979 b=5.979 c=5.979 alpha=60.00 beta=60.00 gamma=60.00
Element x y z (fractional)
Cu1 0.625 0.625 0.125
Cu2 0.625 0.625 0.625
Cu3 0.125 0.625 0.625
Cu4 0.625 0.125 0.625
N1 0.750 0.750 0.750
Rb1 0.250 0.250 0.250
Rb2 0.000 0.000 0.000
N2 0.500 0.500 0.500

Results
The value obtained for the formation energy without anion corrections is -0.043 eV per atom.

No. 5
YBAs3 | meta-GGA SCAN | PBEsol geometry

Unit cell a=4.477 b=4.477 c=4.477 alpha=90.00 beta=90.00 gamma=90.00
Element x y z (fractional)
As1 0.500 0.000 0.000
As2 0.000 0.500 0.000
Y1 0.500 0.500 0.500
As3 0.000 0.000 0.500
B1 0.000 0.000 0.000

Results
The formation energy is 0.104 eV per atom.

No. 6
Tl2TcSe | meta-GGA SCAN | PBEsol geometry

Unit cell a=4.280 b=4.280 c=5.391 alpha=113.39 beta=113.39 gamma=90.00
Last column: magnetic moment on the atom in μB.
Element x y z (fractional)
Tl1 0.750 0.250 0.500  -0.02
Tl2 0.000 0.000 0.000  0.01
Se1 0.500 0.500 0.000  0.08
Tc1 0.250 0.750 0.500  2.75

Results
As for the polymorph energy (0 for the lowest one): 71 meV/atom. The value obtained for the formation energy without anion corrections is 0.710 eV per atom.

No. 7
Ca2MgWO6 | meta-GGA SCAN | PBEsol geometry

Unit cell a=5.391 b=5.560 c=7.696 alpha=90.00 beta=89.80 gamma=90.00
Element x y z (fractional)
Mg1 0.500 0.000 0.500
Ca1 0.513 0.553 0.253
O1 0.092 0.471 0.259
O2 0.788 0.805 0.045
Ca2 0.013 0.947 0.753
Ca3 0.487 0.447 0.747
O3 0.692 0.284 0.051
O4 0.712 0.305 0.455
Ca4 0.987 0.053 0.247
O5 0.192 0.216 0.551
W1 0.000 0.500 0.500
O6 0.808 0.784 0.449
Mg2 0.000 0.500 0.000
O7 0.908 0.529 0.741
O8 0.408 0.971 0.241
O9 0.212 0.195 0.955
O10 0.288 0.695 0.545
O11 0.592 0.029 0.759
O12 0.308 0.716 0.949
W2 0.500 0.000 0.000

Results
The value obtained for the formation energy without anion corrections is -3.002 eV per atom.

No. 8
HfScBe2 | meta-GGA SCAN | PBEsol geometry

Unit cell a=4.397 b=4.397 c=4.397 alpha=60.00 beta=60.00 gamma=60.00
Element x y z (fractional)
Hf1 0.500 0.500 0.500
Sc1 0.000 0.000 0.000
Be1 0.750 0.750 0.750
Be2 0.250 0.250 0.250

Results
The formation energy is -0.047 eV per atom.

No. 9
Ge2RuWI | meta-GGA SCAN | PBEsol geometry

Unit cell a=4.647 b=4.647 c=5.039 alpha=90.00 beta=90.00 gamma=90.00
Last column: magnetic moment on the atom in μB.
Element x y z (fractional)
Ru1 0.000 0.000 0.000  -0.13
I1 0.500 0.500 0.500  -0.03
Ge1 0.000 0.500 0.000  -0.01
W1 0.000 0.000 0.500  1.94
Ge2 0.500 0.000 0.000  -0.01

Results
The value obtained for the formation energy without anion corrections is 0.935 eV per atom.

No. 10
GaB3Cl | meta-GGA SCAN | PBEsol geometry

Unit cell a=3.850 b=3.850 c=3.850 alpha=90.00 beta=90.00 gamma=90.00
Element x y z (fractional)
B1 0.000 0.500 0.000
B2 0.500 0.000 0.000
Ga1 0.500 0.500 0.500
Cl1 0.000 0.000 0.000
B3 0.000 0.000 0.500

Results
The value obtained for the formation energy without anion corrections is 2.404 eV per atom.

No. 11
AlTe2Pb | meta-GGA SCAN | PBEsol geometry

Unit cell a=3.790 b=5.293 c=5.293 alpha=90.00 beta=90.00 gamma=90.00
Element x y z (fractional)
Te1 0.000 0.000 0.500
Al1 0.500 0.500 0.500
Pb1 0.500 0.000 0.000
Te2 0.000 0.500 0.000

Results
The value obtained for the formation energy without anion corrections is 0.126 eV per atom.

No. 12
FeIrBr3 | meta-GGA SCAN | PBEsol geometry

Unit cell a=4.780 b=4.780 c=4.780 alpha=90.00 beta=90.00 gamma=90.00
Last column: magnetic moment on the atom in μB.
Element x y z (fractional)
Br1 0.000 0.500 0.000  0.16
Br2 0.500 0.000 0.000  0.16
Ir1 0.500 0.500 0.500  2.32
Fe1 0.000 0.000 0.000  3.36
Br3 0.000 0.000 0.500  0.16

Results
The value obtained for the formation energy without anion corrections is 1.002 eV per atom.

The evaluated mass density for the records listed, in turn: 11.38; 5.97; 10.95; 4.98; 6.01; 11.90; 5.53; 6.67; 8.50; 4.00; 7.65; 7.41 g/cm3.
The evaluated DOS(E_F) for the records listed, in turn: 2.007; 4.842; 1.444; 0.000; 2.431; 2.554; 0.000; 2.283; 2.426; 2.376; 2.322; 7.158 states/eV/cell.